Entry 1:
The following is a GGA-PBE calculation of a relaxed CrCo3 crystal, from the Alexandria database.

As for the offset from the most stable computed form: 0.43 eV per formula unit. The total magnetic moment comes out at 5.25 Bohr magnetons per cell.

Cell lengths 4.9651, 7.0082, 2.4788 Å; angles 90.00, 90.00, 90.00 degrees
Closest atoms and distances in Å follow each position.
Space group Cmmm (No. 65)
Inequivalent atoms, fractional coordinates:
Cr 0.0000 0.0000 0.0000 (multiplicity 2)  2 Cr 2.48, 10 Co 2.48
Co 0.0000 0.5000 0.0000 (multiplicity 2)  10 Co 2.48, 2 Cr 2.48
Co 0.2500 0.2500 0.5000 (multiplicity 4)  8 Co 2.48, 4 Cr 2.48

Entry 2:
The following is a GGA-PBE calculation of a relaxed CuAg2Br crystal, from the Alexandria database.

The uncorrected formation energy comes out at 0.0357 eV per atom. As for the offset from the most stable computed form: 0.00 eV per formula unit. The total magnetic moment comes out at 0.00 Bohr magnetons per cell.

Cell lengths 3.5741, 3.4710, 6.7281 Å; angles 90.00, 90.33, 90.00 degrees
Closest atoms and distances in Å follow each position.
Space group Pm (No. 6)
Inequivalent atoms, fractional coordinates:
Cu 0.0000 0.0000 0.0000 (multiplicity 1)  2 Br 2.51, 5 Ag 2.61-2.74
Ag 0.0051 0.0000 0.3877 (multiplicity 1)  1 Cu 2.61, 2 Br 2.88, 4 Ag 2.89
Ag 0.5024 0.5000 0.1699 (multiplicity 1)  4 Cu 2.74, 4 Ag 2.89
Br 0.9982 0.5000 0.7298 (multiplicity 1)  2 Cu 2.51

Entry 3:
The following is a GGA-PBE calculation of a relaxed NdCd6 crystal, from the Alexandria database.

As for the offset from the most stable computed form: 0.00 eV per formula unit. The total magnetic moment comes out at 0.00 Bohr magnetons per cell.

Cell lengths 15.7343, 15.8402, 16.0215 Å; angles 90.00, 90.00, 90.00 degrees
Closest atoms and distances in Å follow each position.
Space group Immm (No. 71)
Inequivalent atoms, fractional coordinates:
Nd 0.0000 0.1921 0.1967 (multiplicity 8)  16 Cd 3.31-3.64
Nd 0.1863 0.2987 0.5000 (multiplicity 8)  15 Cd 3.29-3.58
Nd 0.2009 0.5000 0.1938 (multiplicity 8)  17 Cd 3.36-3.71
Cd 0.0000 0.0000 0.0880 (multiplicity 4)  3 Cd 2.82-2.85
Cd 0.0000 0.2257 0.4100 (multiplicity 8)  6 Cd 2.88-3.16
Cd 0.0000 0.3075 0.0000 (multiplicity 4)  8 Cd 2.85-3.15
Cd 0.0000 0.4034 0.5000 (multiplicity 4)  7 Cd 3.06-3.19, 2 Nd 3.37
Cd 0.0000 0.4054 0.1496 (multiplicity 8)  7 Cd 2.85-3.18
Cd 0.0000 0.5000 0.3043 (multiplicity 4)  8 Cd 2.85-3.10
Cd 0.0900 0.0000 0.4137 (multiplicity 8)  5 Cd 2.77-3.05
Cd 0.0959 0.0000 0.2392 (multiplicity 8)  5 Cd 2.80-3.02
Cd 0.0959 0.5000 0.0000 (multiplicity 4)  7 Cd 2.99-3.20
Cd 0.0977 0.1532 0.0000 (multiplicity 8)  9 Cd 2.86-3.20
Cd 0.1130 0.3397 0.3006 (multiplicity 16)  7 Cd 2.98-3.18
Cd 0.1496 0.5000 0.4049 (multiplicity 8)  9 Cd 2.85-3.19
Cd 0.1600 0.3021 0.1180 (multiplicity 16)  7 Cd 2.97-3.18, 1 Nd 3.31
Cd 0.1606 0.1613 0.3362 (multiplicity 16)  7 Cd 2.97-3.16
Cd 0.1940 0.0000 0.0000 (multiplicity 4)  8 Cd 2.86-3.19
Cd 0.2047 0.1232 0.1574 (multiplicity 16)  7 Cd 2.91-3.19
Cd 0.2392 0.0939 0.5000 (multiplicity 8)  8 Cd 2.97-3.10

Entry 4:
The following is a GGA-PBE calculation of a relaxed ZrGa2PtS crystal, from the Alexandria database.

The uncorrected formation energy comes out at 0.3128 eV per atom. The total magnetic moment comes out at 0.01 Bohr magnetons per cell.

Cell lengths 4.7658, 4.7658, 4.5450 Å; angles 90.00, 90.00, 90.00 degrees
Closest atoms and distances in Å follow each position.
Space group P4/mmm (No. 123)
Inequivalent atoms, fractional coordinates:
Zr 0.0000 0.0000 0.0000 (multiplicity 1)  8 Ga 3.29, 4 Pt 3.37
Ga 0.0000 0.5000 0.5000 (multiplicity 2)  2 S 2.38
Pt 0.5000 0.5000 0.0000 (multiplicity 1)  2 S 2.27
S 0.5000 0.5000 0.5000 (multiplicity 1)  2 Pt 2.27, 4 Ga 2.38

Entry 5:
The following is a GGA-PBE calculation of a relaxed SrSc2W crystal, from the Alexandria database.

As for the offset from the most stable computed form: 1.65 eV per formula unit. The total magnetic moment comes out at 0.00 Bohr magnetons per cell.

Cell lengths 6.5595, 9.0414, 3.1394 Å; angles 90.00, 90.00, 90.00 degrees
Closest atoms and distances in Å follow each position.
Space group Cmmm (No. 65)
Inequivalent atoms, fractional coordinates:
Sr 0.0000 0.0000 0.0000 (multiplicity 2)  2 Sr 3.14, 8 Sc 3.20, 2 W 3.28
Sc 0.2500 0.2500 0.5000 (multiplicity 4)  4 Sc 3.14-3.28, 4 W 3.20, 4 Sr 3.20
W 0.0000 0.5000 0.0000 (multiplicity 2)  2 W 3.14, 8 Sc 3.20, 2 Sr 3.28

Entry 6:
The following is a GGA-PBE calculation of a relaxed TiHg2Pt crystal, from the Alexandria database.

As for the offset from the most stable computed form: 0.00 eV per formula unit. The total magnetic moment comes out at 0.00 Bohr magnetons per cell.

Cell lengths 6.6286, 6.6286, 6.6286 Å; angles 90.00, 90.00, 90.00 degrees
Closest atoms and distances in Å follow each position.
Space group Fm-3m (No. 225)
Inequivalent atoms, fractional coordinates:
Ti 0.0000 0.0000 0.0000 (multiplicity 4)  8 Hg 2.87
Hg 0.2500 0.2500 0.2500 (multiplicity 8)  4 Pt 2.87, 4 Ti 2.87
Pt 0.0000 0.0000 0.5000 (multiplicity 4)  8 Hg 2.87